Record 1
Compound: Ac2GaI
Source: the Alexandria database
Functional: PBE-GGA
Structure: optimized geometry

**Total moment**: 0.0000 μB/atom
**Density of states at the Fermi level**: 11.5 states/eV/cell
**Energy relative to the elements, uncorrected**: -682.7 meV per atom
**Total energy**: -3.88 eV/atom
**Distance to the lowest polymorph of the same formula**: 7.0 kJ/mol of atoms

Lattice parameters (Å, degrees): 8.139 17.033 4.343 90.00 90.00 90.00
Space group Cmcm (No. 63)
One atom of each set of equivalent atoms:
Ac (0.241, 0.103, 0.250) x8
Ga (0.000, 0.454, 0.250) x4
I (0.000, 0.227, 0.750) x4



Record 2
Compound: Ac2GaI
Source: the Alexandria database
Functional: PBE-GGA
Structure: optimized geometry

**Total moment**: 0.0000 μB/atom
**Density of states at the Fermi level**: 22.6 states/eV/cell
**Energy relative to the elements, uncorrected**: -754.8 meV per atom
**Total energy**: -3.95 eV/atom
**Distance to the lowest polymorph of the same formula**: 0.0 kJ/mol of atoms

Lattice parameters (Å, degrees): 9.545 18.568 8.168 90.00 124.22 90.00
Space group C2/c (No. 15)
One atom of each set of equivalent atoms:
Ac (0.203, 0.064, 0.223) x8
Ac (0.237, 0.188, 0.724) x8
Ga (0.000, 0.071, 0.750) x4
Ga (0.000, 0.196, 0.250) x4
I (0.000, 0.320, 0.750) x4
I (0.000, 0.444, 0.250) x4



Record 3
Compound: AcGaI2
Source: the Alexandria database
Functional: PBE-GGA
Structure: optimized geometry

**Total moment**: 0.0000 μB/atom
**Density of states at the Fermi level**: 10.0 states/eV/cell
**Energy relative to the elements, uncorrected**: -664.4 meV per atom
**Total energy**: -3.22 eV/atom

Lattice parameters (Å, degrees): 4.1235 4.1235 34.0728 90.00 90.00 120.00
Space group R-3m (No. 166, hexagonal axes)
One atom of each set of equivalent atoms:
Ac (0.0000, 0.0000, 0.0000) x3
Ga (0.0000, 0.0000, 0.5000) x3
I (0.0000, 0.0000, 0.4040) x6



Record 4
Compound: Ac8InGa3I4
Source: the Alexandria database
Functional: PBE-GGA
Structure: optimized geometry

**Total moment**: 0.0000 μB/atom
**Density of states at the Fermi level**: 47.1 states/eV/cell
**Energy relative to the elements, uncorrected**: -725.0 meV per atom
**Total energy**: -3.91 eV/atom

Lattice parameters (Å, degrees): 9.5326 9.5326 23.6763 90.00 90.00 120.00
Space group R-3m (No. 166, hexagonal axes)
One atom of each set of equivalent atoms:
Ac (0.0000, 0.0000, 0.2352) x6
Ac (0.0094, 0.5047, 0.7618) x18
In (0.0000, 0.0000, 0.5000) x3
Ga (0.0000, 0.5000, 0.5000) x9
I (0.0000, 0.0000, 0.0000) x3
I (0.0000, 0.5000, 0.0000) x9



Record 5
Compound: Ac8Ga3IrI4
Source: the Alexandria database
Functional: PBE-GGA
Structure: optimized geometry

**Total moment**: 0.0000 μB/atom
**Density of states at the Fermi level**: 44.0 states/eV/cell
**Energy relative to the elements, uncorrected**: -809.4 meV per atom
**Total energy**: -4.37 eV/atom

Lattice parameters (Å, degrees): 9.2568 9.2568 24.6931 90.00 90.00 120.00
Space group R-3m (No. 166, hexagonal axes)
One atom of each set of equivalent atoms:
Ac (0.0000, 0.0000, 0.2374) x6
Ac (0.0156, 0.5078, 0.2312) x18
Ga (0.0000, 0.5000, 0.5000) x9
Ir (0.0000, 0.0000, 0.5000) x3
I (0.0000, 0.0000, 0.0000) x3
I (0.0000, 0.5000, 0.0000) x9



Record 6
Compound: Ac8GaIr3I3
Source: the Alexandria database
Functional: PBE-GGA
Structure: optimized geometry

**Total moment**: 0.0001 μB/atom
**Density of states at the Fermi level**: 21.4 states/eV/cell
**Energy relative to the elements, uncorrected**: -849.0 meV per atom
**Total energy**: -5.32 eV/atom

Lattice parameters (Å, degrees): 15.556 8.966 9.807 90.00 121.95 90.00
Space group C2/m (No. 12)
One atom of each set of equivalent atoms:
Ac (0.024, 0.235, 0.308) x8
Ac (0.231, 0.000, 0.691) x4
Ac (0.241, 0.500, 0.692) x4
Ga (0.000, 0.500, 0.500) x2
Ir (0.000, 0.000, 0.500) x2
Ir (0.250, 0.250, 0.500) x4
I (0.000, 0.500, 0.000) x2
I (0.250, 0.250, 0.000) x4



Record 7
Compound: Ac6GaIr2I3
Source: the Alexandria database
Functional: PBE-GGA
Structure: optimized geometry

**Total moment**: 0.0000 μB/atom
**Density of states at the Fermi level**: 7.5 states/eV/cell
**Energy relative to the elements, uncorrected**: -953.0 meV per atom
**Total energy**: -5.12 eV/atom

Lattice parameters (Å, degrees): 7.793 13.505 8.968 90.00 106.87 90.00
Space group C2/m (No. 12)
One atom of each set of equivalent atoms:
Ac (0.210, 0.000, 0.187) x4
Ac (0.239, 0.324, 0.188) x8
Ga (0.000, 0.500, 0.000) x2
Ir (0.000, 0.167, 0.000) x4
I (0.000, 0.000, 0.500) x2
I (0.000, 0.337, 0.500) x4



Record 8
Compound: Ac6Ga2IrI3
Source: the Alexandria database
Functional: PBE-GGA
Structure: optimized geometry

**Total moment**: 0.0001 μB/atom
**Density of states at the Fermi level**: 25.9 states/eV/cell
**Energy relative to the elements, uncorrected**: -833.8 meV per atom
**Total energy**: -4.52 eV/atom

Lattice parameters (Å, degrees): 8.040 13.821 8.684 90.00 107.92 90.00
Space group C2/m (No. 12)
One atom of each set of equivalent atoms:
Ac (0.222, 0.158, 0.193) x8
Ac (0.249, 0.000, 0.803) x4
Ga (0.000, 0.335, 0.000) x4
Ir (0.000, 0.000, 0.000) x2
I (0.000, 0.175, 0.500) x4
I (0.000, 0.500, 0.500) x2



Record 9
Compound: AcLaGaI
Source: the Alexandria database
Functional: PBE-GGA
Structure: optimized geometry

**Total moment**: 0.0000 μB/atom
**Density of states at the Fermi level**: 12.8 states/eV/cell
**Energy relative to the elements, uncorrected**: -608.3 meV per atom
**Total energy**: -4.01 eV/atom

Lattice parameters (Å, degrees): 7.977 7.977 7.977 90.00 90.00 90.00
Space group F-43m (No. 216)
One atom of each set of equivalent atoms:
Ac (0.000, 0.000, 0.000) x4
La (0.000, 0.000, 0.500) x4
Ga (0.250, 0.250, 0.250) x4
I (0.250, 0.250, 0.750) x4



Record 10
Compound: Ac4GaI2N
Source: the Alexandria database
Functional: PBE-GGA
Structure: optimized geometry

**Total moment**: 0.0000 μB/atom
**Density of states at the Fermi level**: 4.2 states/eV/cell
**Energy relative to the elements, uncorrected**: -887.8 meV per atom
**Total energy**: -4.75 eV/atom

Lattice parameters (Å, degrees): 7.603 4.145 8.835 90.00 105.78 90.00
Space group P2/m (No. 10)
One atom of each set of equivalent atoms:
Ac (0.199, 0.000, 0.178) x2
Ac (0.226, 0.500, 0.807) x2
Ga (0.500, 0.000, 0.000) x1
I (0.000, 0.000, 0.500) x1
I (0.500, 0.500, 0.500) x1
N (0.000, 0.500, 0.000) x1



Record 11
Compound: Ac6GaNi2I3
Source: the Alexandria database
Functional: PBE-GGA
Structure: optimized geometry

**Total moment**: 0.0001 μB/atom
**Density of states at the Fermi level**: 28.5 states/eV/cell
**Energy relative to the elements, uncorrected**: -685.9 meV per atom
**Total energy**: -4.34 eV/atom

Lattice parameters (Å, degrees): 7.851 13.241 8.800 90.00 106.84 90.00
Space group C2/m (No. 12)
One atom of each set of equivalent atoms:
Ac (0.209, 0.000, 0.187) x4
Ac (0.240, 0.323, 0.194) x8
Ga (0.000, 0.500, 0.000) x2
Ni (0.000, 0.168, 0.000) x4
I (0.000, 0.000, 0.500) x2
I (0.000, 0.341, 0.500) x4



Record 12
Compound: AcGaIO6
Source: the Alexandria database
Functional: PBE-GGA
Structure: optimized geometry

**Total moment**: 0.0907 μB/atom
**Density of states at the Fermi level**: 3.1 states/eV/cell
**Energy relative to the elements, uncorrected**: -1620.8 meV per atom
**Total energy**: -5.89 eV/atom

Lattice parameters (Å, degrees): 5.3228 5.3228 5.4341 90.00 90.00 120.00
Space group P312 (No. 149)
One atom of each set of equivalent atoms:
Ac (0.0000, 0.0000, 0.0000) x1
Ga (0.3333, 0.6667, 0.5000) x1
I (0.6667, 0.3333, 0.5000) x1
O (0.0003, 0.3772, 0.7091) x6



Record 13
Compound: Ac8GaOs3I4
Source: the Alexandria database
Functional: PBE-GGA
Structure: optimized geometry

**Total moment**: 0.0000 μB/atom
**Density of states at the Fermi level**: 20.3 states/eV/cell
**Energy relative to the elements, uncorrected**: -660.7 meV per atom
**Total energy**: -5.40 eV/atom

Lattice parameters (Å, degrees): 8.9175 8.9175 25.6554 90.00 90.00 120.00
Space group R-3m (No. 166, hexagonal axes)
One atom of each set of equivalent atoms:
Ac (0.0000, 0.0000, 0.2299) x6
Ac (0.0192, 0.5096, 0.7721) x18
Ga (0.0000, 0.0000, 0.5000) x3
Os (0.0000, 0.5000, 0.5000) x9
I (0.0000, 0.0000, 0.0000) x3
I (0.0000, 0.5000, 0.0000) x9



Record 14
Compound: Ac8Ga3OsI4
Source: the Alexandria database
Functional: PBE-GGA
Structure: optimized geometry

**Total moment**: 0.0000 μB/atom
**Density of states at the Fermi level**: 38.3 states/eV/cell
**Energy relative to the elements, uncorrected**: -721.5 meV per atom
**Total energy**: -4.43 eV/atom

Lattice parameters (Å, degrees): 9.2331 9.2331 24.9352 90.00 90.00 120.00
Space group R-3m (No. 166, hexagonal axes)
One atom of each set of equivalent atoms:
Ac (0.0000, 0.0000, 0.2367) x6
Ac (0.0190, 0.5095, 0.2306) x18
Ga (0.0000, 0.5000, 0.5000) x9
Os (0.0000, 0.0000, 0.5000) x3
I (0.0000, 0.0000, 0.0000) x3
I (0.0000, 0.5000, 0.0000) x9



Record 15
Compound: Ac8Ga3PI4
Source: the Alexandria database
Functional: PBE-GGA
Structure: optimized geometry

**Total moment**: 0.0000 μB/atom
**Density of states at the Fermi level**: 30.3 states/eV/cell
**Energy relative to the elements, uncorrected**: -899.2 meV per atom
**Total energy**: -4.25 eV/atom

Lattice parameters (Å, degrees): 9.2854 9.2854 24.1129 90.00 90.00 120.00
Space group R-3m (No. 166, hexagonal axes)
One atom of each set of equivalent atoms:
Ac (0.0000, 0.0000, 0.2355) x6
Ac (0.0033, 0.5017, 0.2345) x18
Ga (0.0000, 0.5000, 0.5000) x9
P (0.0000, 0.0000, 0.5000) x3
I (0.0000, 0.0000, 0.0000) x3
I (0.0000, 0.5000, 0.0000) x9



Record 16
Compound: Ac4GaPtI2
Source: the Alexandria database
Functional: PBE-GGA
Structure: optimized geometry

**Total moment**: 0.0000 μB/atom
**Density of states at the Fermi level**: 7.6 states/eV/cell
**Energy relative to the elements, uncorrected**: -952.5 meV per atom
**Total energy**: -4.53 eV/atom

Lattice parameters (Å, degrees): 8.186 4.458 8.739 90.00 106.51 90.00
Space group P2/m (No. 10)
One atom of each set of equivalent atoms:
Ac (0.221, 0.000, 0.188) x2
Ac (0.252, 0.500, 0.800) x2
Ga (0.500, 0.000, 0.000) x1
Pt (0.000, 0.500, 0.000) x1
I (0.000, 0.000, 0.500) x1
I (0.500, 0.500, 0.500) x1



Record 17
Compound: Ac8GaPt3I4
Source: the Alexandria database
Functional: PBE-GGA
Structure: optimized geometry

**Total moment**: 0.0000 μB/atom
**Density of states at the Fermi level**: 25.3 states/eV/cell
**Energy relative to the elements, uncorrected**: -1077.8 meV per atom
**Total energy**: -4.84 eV/atom

Lattice parameters (Å, degrees): 9.0913 9.0913 25.5930 90.00 90.00 120.00
Space group R-3m (No. 166, hexagonal axes)
One atom of each set of equivalent atoms:
Ac (0.0000, 0.0000, 0.2301) x6
Ac (0.0115, 0.5058, 0.7710) x18
Ga (0.0000, 0.0000, 0.5000) x3
Pt (0.0000, 0.5000, 0.5000) x9
I (0.0000, 0.0000, 0.0000) x3
I (0.0000, 0.5000, 0.0000) x9



Record 18
Compound: Ac8GaRh3I4
Source: the Alexandria database
Functional: PBE-GGA
Structure: optimized geometry

**Total moment**: 0.0000 μB/atom
**Density of states at the Fermi level**: 23.1 states/eV/cell
**Energy relative to the elements, uncorrected**: -933.1 meV per atom
**Total energy**: -4.94 eV/atom

Lattice parameters (Å, degrees): 15.501 8.949 10.007 90.00 121.14 90.00
Space group C2/m (No. 12)
One atom of each set of equivalent atoms:
Ac (0.025, 0.238, 0.315) x8
Ac (0.230, 0.000, 0.690) x4
Ac (0.236, 0.500, 0.684) x4
Ga (0.000, 0.500, 0.500) x2
Rh (0.000, 0.000, 0.500) x2
Rh (0.250, 0.250, 0.500) x4
I (0.000, 0.000, 0.000) x2
I (0.000, 0.500, 0.000) x2
I (0.250, 0.250, 0.000) x4



Record 19
Compound: Ac6GaRh2I3
Source: the Alexandria database
Functional: PBE-GGA
Structure: optimized geometry

**Total moment**: 0.0000 μB/atom
**Density of states at the Fermi level**: 9.5 states/eV/cell
**Energy relative to the elements, uncorrected**: -914.9 meV per atom
**Total energy**: -4.83 eV/atom

Lattice parameters (Å, degrees): 7.782 13.482 8.964 90.00 106.86 90.00
Space group C2/m (No. 12)
One atom of each set of equivalent atoms:
Ac (0.212, 0.000, 0.188) x4
Ac (0.238, 0.324, 0.188) x8
Ga (0.000, 0.500, 0.000) x2
Rh (0.000, 0.167, 0.000) x4
I (0.000, 0.000, 0.500) x2
I (0.000, 0.338, 0.500) x4



Record 20
Compound: Ac6Ga2RuI3
Source: the Alexandria database
Functional: PBE-GGA
Structure: optimized geometry

**Total moment**: 0.0001 μB/atom
**Density of states at the Fermi level**: 19.7 states/eV/cell
**Energy relative to the elements, uncorrected**: -752.0 meV per atom
**Total energy**: -4.47 eV/atom

Lattice parameters (Å, degrees): 7.964 13.766 8.789 90.00 107.61 90.00
Space group C2/m (No. 12)
One atom of each set of equivalent atoms:
Ac (0.220, 0.156, 0.191) x8
Ac (0.247, 0.000, 0.807) x4
Ga (0.000, 0.334, 0.000) x4
Ru (0.000, 0.000, 0.000) x2
I (0.000, 0.171, 0.500) x4
I (0.000, 0.500, 0.500) x2